The following is a DFT calculation (PBE) of crystalline ErTaGa at its relaxed geometry.

Values from the calculation:
Electronic total energy: -6.2049 eV per atom
Energy above the most stable polymorph in this dataset: 0 meV/atom

The structure in CIF format:
```
data_ErTaGa
_chemical_formula_sum 'Er4 Ta4 Ga4'
_cell_length_a 6.4833
_cell_length_b 6.4833
_cell_length_c 6.4833
_cell_angle_alpha 90.00
_cell_angle_beta 90.00
_cell_angle_gamma 90.00
_space_group_name_H-M_alt 'P 1'
_space_group_IT_number 1
loop_
_space_group_symop_operation_xyz
'x,y,z'
loop_
_atom_site_label
_atom_site_type_symbol
_atom_site_fract_x
_atom_site_fract_y
_atom_site_fract_z
_atom_site_occupancy
Er1 Er 0.0000 0.0000 0.0000 1
Er2 Er 0.0000 0.5000 0.5000 1
Er3 Er 0.5000 0.0000 0.5000 1
Er4 Er 0.5000 0.5000 0.0000 1
Ta1 Ta 0.0000 0.0000 0.5000 1
Ta2 Ta 0.0000 0.5000 0.0000 1
Ta3 Ta 0.5000 0.0000 0.0000 1
Ta4 Ta 0.5000 0.5000 0.5000 1
Ga1 Ga 0.2500 0.2500 0.2500 1
Ga2 Ga 0.2500 0.7500 0.7500 1
Ga3 Ga 0.7500 0.2500 0.7500 1
Ga4 Ga 0.7500 0.7500 0.2500 1
```